1.
Here is MgB2H8 at its PBEsol-relaxed geometry from Alexandria. Energies are from meta-GGA SCAN.

E above lowest polymorph ... 17 meV/atom

Cell lengths 5.5354, 5.5354, 5.8477 Å; angles 90.00, 90.00, 90.00 degrees
Positions (direct):
H 0.9647 0.2193 0.7093
B 0.7492 0.2492 0.7500
H 0.3612 0.8305 0.5834
H 0.2807 0.5353 0.7907
Mg 0.0000 0.0000 0.0000
H 0.8612 0.6695 0.0833
H 0.0353 0.7806 0.7094
H 0.2194 0.0353 0.2906
B 0.7508 0.7492 0.2500
B 0.2492 0.2508 0.2500
H 0.7806 0.9647 0.2906
H 0.6388 0.1695 0.5833
H 0.8305 0.6388 0.4167
H 0.5353 0.7194 0.2094
H 0.4647 0.2806 0.2094
H 0.6695 0.1388 0.9166
H 0.1695 0.3612 0.4167
Mg 0.5000 0.5000 0.5000
B 0.2508 0.7508 0.7500
H 0.1388 0.3305 0.0833
H 0.7194 0.4647 0.7906
H 0.3305 0.8612 0.9167

2.
Here is MgB2H8 at its PBEsol-relaxed geometry from Alexandria. Energies are from meta-GGA SCAN.

E above lowest polymorph ... 19 meV/atom

Cell lengths 4.2434, 5.7022, 8.2751 Å; angles 90.00, 90.00, 90.00 degrees
Positions (direct):
H 0.0000 0.4101 0.3749
H 0.5000 0.2911 0.9461
H 0.2763 0.0240 0.0652
H 0.7537 0.5316 0.6772
Mg 0.0000 0.2898 0.0030
B 0.0000 0.5203 0.2463
H 0.5000 0.9666 0.8523
H 0.2463 0.4684 0.1772
H 0.7537 0.4684 0.1772
H 0.5000 0.7089 0.4461
H 0.0000 0.7355 0.2565
H 0.5000 0.0334 0.3523
H 0.7237 0.0240 0.0652
Mg 0.0000 0.7102 0.5030
H 0.0000 0.5899 0.8749
H 0.2463 0.5316 0.6772
B 0.0000 0.4797 0.7463
H 0.7237 0.9760 0.5652
H 0.0000 0.2645 0.7565
B 0.5000 0.0775 0.9770
H 0.2763 0.9760 0.5652
B 0.5000 0.9225 0.4770

3.
Here is MgB3H20N3 at its PBEsol-relaxed geometry from Alexandria. Energies are from meta-GGA SCAN.

Energy ... -4.94 eV/atom

Cell lengths 5.4389, 9.0602, 9.0715 Å; angles 90.67, 90.09, 90.51 degrees
Positions (direct):
B 0.6514 0.3406 0.1365
H 0.7394 0.9155 0.9759
H 0.2191 0.6090 0.2408
H 0.2252 0.7608 0.5913
H 0.1947 0.4018 0.5733
H 0.8092 0.7645 0.3091
B 0.6498 0.6615 0.8556
N 0.1897 0.1256 0.3677
H 0.6687 0.1871 0.5158
H 0.8192 0.0561 0.8705
H 0.7680 0.2542 0.2097
H 0.6752 0.6994 0.9864
H 0.7277 0.4261 0.5261
H 0.5115 0.0952 0.7002
H 0.8796 0.1136 0.6790
H 0.7526 0.7478 0.7741
H 0.4543 0.8198 0.3459
H 0.8118 0.5714 0.6252
B 0.6824 0.1722 0.6515
H 0.2274 0.2546 0.8959
H 0.4281 0.6557 0.8259
B 0.6722 0.8510 0.3695
H 0.0079 0.5850 0.1148
N 0.8327 0.5216 0.5226
H 0.1768 0.2371 0.3923
H 0.0086 0.3784 0.8970
H 0.7056 0.8487 0.5054
H 0.4287 0.3251 0.1579
H 0.2062 0.3745 0.7595
H 0.7090 0.4696 0.1700
H 0.7555 0.5921 0.4472
H 0.6632 0.2931 0.7104
H 0.2341 0.1176 0.2574
N 0.1866 0.6210 0.1295
H 0.7108 0.9779 0.3255
H 0.2304 0.6014 0.4784
H 0.0134 0.0835 0.3744
H 0.2381 0.0979 0.0143
Mg 0.4310 0.4998 0.9978
H 0.7643 0.0865 0.0480
N 0.1917 0.3637 0.8724
H 0.2076 0.8779 0.7333
N 0.1933 0.8698 0.6198
H 0.7361 0.5362 0.8411
H 0.1859 0.7330 0.1088
H 0.1300 0.9289 0.1367
B 0.1099 0.4861 0.4824
H 0.0114 0.8880 0.5945
Mg 0.4321 0.0083 0.5001
H 0.1110 0.4288 0.3595
H 0.2040 0.8935 0.9226
B 0.1213 0.9811 0.0127
H 0.6908 0.3212 0.0030
N 0.8419 0.0121 0.9748